The following is a GGA+U calculation of a relaxed structure of ZnW2O5, from the Alexandria database. Values from VASP.

The structure in Quantum ESPRESSO input format:
```
&SYSTEM
  ibrav = 0, nat = 16, ntyp = 3
/
ATOMIC_SPECIES
Zn 65.41 Zn.upf
W 183.84 W.upf
O 16.00 O.upf
CELL_PARAMETERS angstrom
1.841 -5.869 0.000
1.841 5.869 0.000
0.000 0.000 10.955
ATOMIC_POSITIONS crystal
Zn 0.079 0.921 0.750
Zn 0.921 0.079 0.250
W 0.195 0.805 0.135
W 0.195 0.805 0.365
W 0.805 0.195 0.635
W 0.805 0.195 0.865
O 0.043 0.957 0.121
O 0.043 0.957 0.379
O 0.256 0.744 0.588
O 0.256 0.744 0.912
O 0.346 0.654 0.250
O 0.654 0.346 0.750
O 0.744 0.256 0.088
O 0.744 0.256 0.412
O 0.957 0.043 0.621
O 0.957 0.043 0.879
```

offset from the most stable computed form	0.0	meV per atom
total magnetization	0.0	μB/f.u.
symmetry	Cmcm (63)
V	236.7	Å³ per cell